Record 1
DFT (PBE) results for Tm2Zn5Ag after structural relaxation.

Results
As for the crystal system: orthorhombic.

abc: 4.2192 16.0502 8.9836
angles: 90.00 90.00 90.00
Space group Cmcm (No. 63)
Asymmetric unit:
Tm (0.0000, 0.0000, 0.0000) x4
Tm (0.0000, 0.1929, 0.2500) x4
Zn (0.0000, 0.1918, 0.6059) x8
Zn (0.0000, 0.3521, 0.5226) x8
Zn (0.0000, 0.3884, 0.2500) x4
Ag (0.0000, 0.4525, 0.7500) x4


Record 2
DFT (PBE) results for Tm4Zn3Ag after structural relaxation.

Results
As for the crystal system: orthorhombic.

abc: 3.6250 4.5269 11.1157
angles: 90.00 90.00 90.00
Space group Pmm2 (No. 25)
Asymmetric unit:
Tm (0.0000, 0.0000, 0.0000) x1
Tm (0.0000, 0.5000, 0.3009) x1
Tm (0.5000, 0.0000, 0.4946) x1
Tm (0.5000, 0.5000, 0.8016) x1
Zn (0.0000, 0.5000, 0.5720) x1
Zn (0.5000, 0.0000, 0.2209) x1
Zn (0.5000, 0.5000, 0.0771) x1
Ag (0.0000, 0.0000, 0.7219) x1


Record 3
DFT (PBE) results for TmZn2Ag9 after structural relaxation.

Results
As for the crystal system: tetragonal.

abc: 11.2260 11.2260 7.1551
angles: 90.00 90.00 90.00
Space group I4_1/amd (No. 141, origin choice 2)
Asymmetric unit:
Tm (0.0000, 0.2500, 0.3750) x4
Zn (0.0000, 0.0000, 0.0000) x8
Ag (0.0000, 0.2500, 0.8750) x4
Ag (0.1216, 0.0526, 0.6763) x32


What are the total energy values for these records? In order: -2.5548 -3.3621 -2.7507 eV per atom.